BeFeSe2, optimized geometry, DFT PBE-GGA; spin magnetization = 1.99 μB per formula unit; SG = P4mm (99); energy relative to the elements, uncorrected = -0.098 eV per atom
1.0
-0.5019 -2.4768 1.9280
1.5306 -1.8978 -2.0395
5.9946 1.3265 3.2645
Be Fe Se
1 1 2
Cartesian
3.1575 0.6987 1.7195
4.8528 -1.2273 2.3069
5.2088 1.1526 2.8366
2.7961 -1.6824 1.1868